Entry 1:
Computed, not measured: a relaxed structure of YPuNi4 at the PBE level of DFT.

- crystal system = cubic
- calculated formation energy (kJ per mole of atoms) = -30
- total magnetic moment (μB/atom) = 0.8568

Cell: 7.1743 7.1743 7.1743 Å, 90.00 90.00 90.00°
With the nearest neighbours (Å) after each atom.
Space group F-43m (No. 216)
One atom of each set of equivalent atoms:
Y  0.0000  0.0000  0.0000 x4  12 Ni 2.98, 4 Pu 3.11
Pu  0.2500  0.2500  0.2500 x4  12 Ni 2.97, 4 Y 3.11
Ni  0.1244  0.1244  0.6244 x16  6 Ni 2.52-2.55


Entry 2:
Computed, not measured: a relaxed structure of YPu3Ni8 at the PBE level of DFT.

- crystal system = trigonal
- calculated formation energy (kJ per mole of atoms) = -29
- total magnetic moment (μB/atom) = 1.2761

Cell: 5.0555 5.0555 24.7558 Å, 90.00 90.00 120.00°
With the nearest neighbours (Å) after each atom.
Space group R3m (No. 160, hexagonal axes)
One atom of each set of equivalent atoms:
Y  0.0000  0.0000  0.0000 x3  12 Ni 2.94-2.98, 4 Pu 3.14-3.15
Pu  0.0000  0.0000  0.1271 x3  12 Ni 2.90-3.02, 3 Pu 3.05, 1 Y 3.15
Pu  0.0000  0.0000  0.4968 x3  12 Ni 2.94-2.99, 4 Pu 3.05
Pu  0.0000  0.0000  0.6199 x3  12 Ni 2.91-3.03, 1 Pu 3.05, 3 Y 3.14
Ni  0.0000  0.0000  0.3109 x3  6 Ni 2.52-2.53
Ni  0.0000  0.0000  0.8108 x3  6 Ni 2.53-2.54
Ni  0.0008  0.5004  0.5615 x9  6 Ni 2.52-2.54
Ni  0.1675  0.3350  0.3940 x9  6 Ni 2.51-2.54


Entry 3:
Computed, not measured: a relaxed structure of YPuNi at the PBE level of DFT.

- crystal system = tetragonal
- calculated formation energy (kJ per mole of atoms) = -6
- total magnetic moment (μB/atom) = 2.0430

Cell: 3.3909 3.3909 12.0537 Å, 90.00 90.00 90.00°
With the nearest neighbours (Å) after each atom.
Space group I4mm (No. 107)
One atom of each set of equivalent atoms:
Y  0.0000  0.0000  0.0000 x2  4 Ni 2.88
Pu  0.0000  0.0000  0.2713 x2  4 Ni 2.92, 1 Y 3.27
Ni  0.0000  0.0000  0.6328 x2  4 Y 2.88, 4 Pu 2.92


Entry 4:
Computed, not measured: a relaxed structure of YPuNi10 at the PBE level of DFT.

- crystal system = orthorhombic
- calculated formation energy (kJ per mole of atoms) = -25
- total magnetic moment (μB/atom) = 0.1240

Cell: 3.9571 4.8829 8.4707 Å, 90.00 90.00 90.00°
With the nearest neighbours (Å) after each atom.
Space group Pmmm (No. 47)
One atom of each set of equivalent atoms:
Y  0.0000  0.0000  0.0000 x1  18 Ni 2.83-3.15
Pu  0.0000  0.5000  0.5000 x1  6 Ni 2.80-2.81
Ni  0.0000  0.0000  0.3349 x2  6 Ni 2.42-2.43
Ni  0.0000  0.5000  0.1697 x2  6 Ni 2.42-2.45
Ni  0.5000  0.0000  0.5000 x1  8 Ni 2.42-2.44
Ni  0.5000  0.2509  0.2505 x4  8 Ni 2.42-2.45
Ni  0.5000  0.5000  0.0000 x1  8 Ni 2.45


Entry 5:
Computed, not measured: a relaxed structure of YPuNi2 at the PBE level of DFT.

- crystal system = tetragonal
- calculated formation energy (kJ per mole of atoms) = -18
- total magnetic moment (μB/atom) = 1.3224

Cell: 4.8289 4.8289 3.2769 Å, 90.00 90.00 90.00°
With the nearest neighbours (Å) after each atom.
Space group P4/mmm (No. 123)
One atom of each set of equivalent atoms:
Y  0.0000  0.0000  0.0000 x1  8 Ni 2.92
Pu  0.5000  0.5000  0.0000 x1  8 Ni 2.92
Ni  0.0000  0.5000  0.5000 x2  4 Pu 2.92, 4 Y 2.92


Entry 6:
Computed, not measured: a relaxed structure of YPuZnNi at the PBE level of DFT.

- crystal system = cubic
- calculated formation energy (kJ per mole of atoms) = -12
- total magnetic moment (μB/atom) = 1.3631

Cell: 6.9692 6.9692 6.9692 Å, 90.00 90.00 90.00°
With the nearest neighbours (Å) after each atom.
Space group F-43m (No. 216)
One atom of each set of equivalent atoms:
Y  0.0000  0.0000  0.0000 x4  4 Ni 3.02, 4 Zn 3.02
Pu  0.0000  0.0000  0.5000 x4  4 Zn 3.02, 4 Ni 3.02
Zn  0.2500  0.2500  0.2500 x4  4 Y 3.02, 4 Pu 3.02
Ni  0.2500  0.2500  0.7500 x4  4 Pu 3.02, 4 Y 3.02


Entry 7:
Computed, not measured: a relaxed structure of Pu2Zn5Ni5 at the PBE level of DFT.

- crystal system = orthorhombic
- calculated formation energy (kJ per mole of atoms) = -17
- total magnetic moment (μB/atom) = 0.9377

Cell: 3.9663 5.1820 9.0104 Å, 90.00 90.00 90.00°
With the nearest neighbours (Å) after each atom.
Space group Pmmm (No. 47)
One atom of each set of equivalent atoms:
Pu  0.0000  0.0000  0.0000 x1  6 Zn 2.93-3.00, 12 Ni 3.25-3.26
Pu  0.0000  0.5000  0.5000 x1  10 Zn 3.00-3.26, 8 Ni 3.29
Zn  0.0000  0.0000  0.3247 x2  4 Ni 2.47, 2 Zn 2.54
Zn  0.0000  0.5000  0.1669 x2  6 Ni 2.47-2.49
Zn  0.5000  0.0000  0.5000 x1  4 Zn 2.54, 4 Ni 2.63
Ni  0.5000  0.2512  0.2469 x4  5 Zn 2.47-2.63, 3 Ni 2.57-2.60
Ni  0.5000  0.5000  0.0000 x1  4 Zn 2.49, 4 Ni 2.57


Entry 8:
Computed, not measured: a relaxed structure of PuZnNi2 at the PBE level of DFT.

- crystal system = tetragonal
- calculated formation energy (kJ per mole of atoms) = -10
- total magnetic moment (μB/atom) = 1.3141

Cell: 3.0460 3.0460 6.5164 Å, 90.00 90.00 90.00°
With the nearest neighbours (Å) after each atom.
Space group P4/mmm (No. 123)
One atom of each set of equivalent atoms:
Pu  0.0000  0.0000  0.0000 x1  8 Ni 2.91, 4 Pu 3.05
Zn  0.0000  0.0000  0.5000 x1  8 Ni 2.52
Ni  0.5000  0.5000  0.2995 x2  4 Zn 2.52, 1 Ni 2.61


Entry 9:
Computed, not measured: a relaxed structure of PuZn4Ni at the PBE level of DFT.

- crystal system = orthorhombic
- calculated formation energy (kJ per mole of atoms) = -16
- total magnetic moment (μB/atom) = 0.9313
- offset from the most stable computed form (meV/atom) = 0.0

Cell: 7.6808 3.9267 6.7300 Å, 90.00 90.00 90.00°
With the nearest neighbours (Å) after each atom.
Space group Pmma (No. 51)
One atom of each set of equivalent atoms:
Pu  0.2500  0.0000  0.1051 x2  1 Ni 2.65
Zn  0.0000  0.0000  0.5000 x2  2 Ni 2.39
Zn  0.0544  0.5000  0.8010 x4  2 Ni 2.54, 2 Zn 2.76-2.81
Zn  0.2500  0.5000  0.4573 x2  2 Ni 2.60, 8 Zn 2.76-2.91
Ni  0.2500  0.0000  0.7111 x2  8 Zn 2.39-2.60, 1 Pu 2.65


Entry 10:
Computed, not measured: a relaxed structure of Pu2Zn3Ni2 at the PBE level of DFT.

- crystal system = monoclinic
- calculated formation energy (kJ per mole of atoms) = 2
- total magnetic moment (μB/atom) = 0.0005

Cell: 11.4830 3.3648 6.7575 Å, 90.00 121.51 90.00°
With the nearest neighbours (Å) after each atom.
Space group C2/m (No. 12)
One atom of each set of equivalent atoms:
Pu  0.1945  0.0000  0.3653 x4  2 Pu 2.31
Zn  0.0000  0.5000  0.5000 x2  2 Zn 2.49, 4 Ni 2.66
Zn  0.0719  0.5000  0.9172 x4  3 Ni 2.42-2.43, 2 Zn 2.43-2.49
Ni  0.1835  0.0000  0.8127 x4  5 Zn 2.42-2.66


Entry 11:
Computed, not measured: a relaxed structure of PuZn3Ni2 at the PBE level of DFT.

- crystal system = trigonal
- calculated formation energy (kJ per mole of atoms) = 5
- total magnetic moment (μB/atom) = 0.9420

Cell: 6.0062 6.0062 18.6308 Å, 90.00 90.00 120.00°
With the nearest neighbours (Å) after each atom.
Space group R-3m (No. 166, hexagonal axes)
One atom of each set of equivalent atoms:
Pu  0.0000  0.0000  0.2257 x6  3 Ni 2.65
Zn  0.0188  0.5094  0.2342 x18  3 Ni 2.50-2.60
Ni  0.0000  0.0000  0.0000 x3  6 Zn 2.60
Ni  0.0000  0.5000  0.0000 x9  4 Zn 2.50, 2 Pu 2.65


Entry 12:
Computed, not measured: a relaxed structure of PuZnNi at the PBE level of DFT.

- crystal system = monoclinic
- calculated formation energy (kJ per mole of atoms) = -20
- total magnetic moment (μB/atom) = 1.8048
- offset from the most stable computed form (meV/atom) = 0.0

Cell: 6.7995 4.0348 11.6350 Å, 90.00 90.78 90.00°
With the nearest neighbours (Å) after each atom.
Space group P2_1/m (No. 11)
One atom of each set of equivalent atoms:
Pu  0.0285  0.2500  0.2863 x2  5 Ni 2.72-2.87, 1 Zn 3.04
Pu  0.3505  0.7500  0.9196 x2  5 Ni 2.82-2.92, 3 Zn 3.07-3.12
Pu  0.4690  0.7500  0.6238 x2  5 Ni 2.88-2.90, 4 Zn 3.10-3.15
Zn  0.0012  0.2500  0.9174 x2  4 Ni 2.52-2.63, 3 Zn 2.77-2.79
Zn  0.1406  0.2500  0.5398 x2  4 Ni 2.56-2.62
Zn  0.3546  0.7500  0.2012 x2  4 Ni 2.54-2.65, 1 Zn 2.77
Ni  0.2333  0.7500  0.4164 x2  4 Zn 2.56-2.65
Ni  0.2347  0.2500  0.0872 x2  5 Zn 2.52-2.58, 1 Pu 2.72
Ni  0.2652  0.2500  0.7541 x2  3 Zn 2.62-2.63, 6 Pu 2.84-2.89